## NdZnCdPt (PBE)

Data for a relaxed structure of NdZnCdPt.

a b c (Å): 4.918 4.918 4.918
angles (deg): 60.00 60.00 60.00
Fractional positions:
Nd (0.000, 0.000, 0.000)
Zn (0.250, 0.250, 0.250)
Cd (0.500, 0.500, 0.500)
Pt (0.750, 0.750, 0.750)

Calculated values
calculated density: 10.210 g/cm3
magnetic moment: 0.00 μB per formula unit
ΔH_f (0 K): -2.14 eV per formula unit
Fermi-level density of states: 2.85 states/eV per cell
VASP energy: -3.786 eV/atom